! GGA-PBE AcTb8Pm2, optimized geometry; values from VASP
! - Spin magnetization: 0.00 Bohr magnetons per cell
! - ΔE_f: 0.1354 eV per atom
! - Distance to the lowest polymorph of the same formula: 4.8 meV/atom
! - DFT total energy: -4.469 eV/atom
&SYSTEM
  ibrav = 0, nat = 11, ntyp = 3
/
ATOMIC_SPECIES
Ac 227.00 Ac.upf
Tb 158.93 Tb.upf
Pm 145.00 Pm.upf
CELL_PARAMETERS angstrom
9.699 -3.571 0.000
9.699 3.571 0.000
-0.309 0.000 5.554
ATOMIC_POSITIONS crystal
Ac 0.000 0.000 0.000
Tb 0.136 0.596 0.269
Tb 0.189 0.189 0.235
Tb 0.404 0.864 0.731
Tb 0.454 0.454 0.759
Tb 0.546 0.546 0.241
Tb 0.596 0.136 0.269
Tb 0.811 0.811 0.765
Tb 0.864 0.404 0.731
Pm 0.285 0.285 0.751
Pm 0.715 0.715 0.249